Record 1
Below is a geometry-optimized NdCoSi structure, with properties calculated at the PBE level.

abc: 3.9192 3.9192 8.1453
angles: 103.92 103.92 90.00
Positions (direct):
Si (0.0844, 0.0844, 0.1687)
Si (0.9156, 0.9156, 0.8313)
Nd (0.3462, 0.3462, 0.6924)
Nd (0.6538, 0.6538, 0.3076)
Co (0.5000, 0.0000, 0.0000)
Co (0.0000, 0.5000, 0.0000)

Results
The calculation puts the formation energy without anion corrections at -0.619 eV/atom. The calculation puts the final energy at -6.3844 eV per atom.


Record 2
Below is a geometry-optimized YHg2Br structure, with properties calculated at the PBE level.

abc: 5.7932 5.7932 5.7932
angles: 132.74 132.74 69.06
Positions (direct):
Y (0.5000, 0.5000, 0.0000)
Hg (0.0000, 0.0000, 0.0000)
Hg (0.2500, 0.7500, 0.5000)
Br (0.7500, 0.2500, 0.5000)

Results
The calculation puts the formation energy without anion corrections at -0.489 eV/atom. The calculation puts the final energy at -2.6746 eV per atom.